Pa2ZnSi4Rh3 | PBE | relaxed

extended XYZ file:
```
10
Lattice="4.1120 0.0000 0.0000 0.0000 4.1120 0.0000 0.0000 0.0000 9.9455" Properties=species:S:1:pos:R:3 pbc="T T T"
Pa 0.0000 2.0560 2.4512
Pa 2.0560 0.0000 7.4943
Zn 0.0000 0.0000 4.9728
Si 0.0000 0.0000 0.0000
Si 0.0000 2.0560 6.3454
Si 2.0560 0.0000 3.6002
Si 2.0560 2.0560 0.0000
Rh 0.0000 2.0560 8.6987
Rh 2.0560 0.0000 1.2468
Rh 2.0560 2.0560 4.9728
```

The space group is P-4m2, No. 115. The total energy comes out at -7.21 eV/atom. For the formation energy without anion corrections, the calculation gives -779 kJ/mol of formula units.